[1]
The following is a PBE calculation of a relaxed structure of Te2HAu, from Alexandria.

## Properties
D(E_F) in states/eV/cell: 9.9
V in Å³/cell: 367
Total moment in μB per cell: 0.00
Energy above the most stable polymorph in this dataset in eV/f.u.: 0.61

```
data_Te2HAu
_cell_length_a 5.9312
_cell_length_b 5.9312
_cell_length_c 10.4429
_cell_angle_alpha 90.00
_cell_angle_beta 90.00
_cell_angle_gamma 90.00
_space_group_name_H-M_alt 'I -4 2 d'
_space_group_IT_number 122
_space_group_name_Hall 'I -4 2bw'
loop_
_atom_site_label
_atom_site_type_symbol
_atom_site_fract_x
_atom_site_fract_y
_atom_site_fract_z
Te1 Te 0.1847 0.2500 0.1250
H1 H 0.0000 0.0000 0.0000
Au1 Au 0.0000 0.0000 0.5000
```

---

[2]
The following is a PBE calculation of a relaxed structure of LaSmYEr, from Alexandria.

## Properties
D(E_F) in states/eV/cell: 29.1
V in Å³/cell: 542
Total moment in μB per cell: 0.05
Energy above the most stable polymorph in this dataset in eV/f.u.: 0.41
Formation energy in meV per atom: 121

```
data_LaSmYEr
_cell_length_a 8.1510
_cell_length_b 8.1510
_cell_length_c 8.1510
_cell_angle_alpha 90.00
_cell_angle_beta 90.00
_cell_angle_gamma 90.00
_space_group_name_H-M_alt 'F -4 3 m'
_space_group_IT_number 216
_space_group_name_Hall 'F -4 2 3'
loop_
_atom_site_label
_atom_site_type_symbol
_atom_site_fract_x
_atom_site_fract_y
_atom_site_fract_z
La1 La 0.0000 0.0000 0.0000
Sm1 Sm 0.0000 0.0000 0.5000
Y1 Y 0.2500 0.2500 0.2500
Er1 Er 0.2500 0.2500 0.7500
```

---

[3]
The following is a PBE calculation of a relaxed structure of LiRu2I, from Alexandria.

## Properties
D(E_F) in states/eV/cell: 18.7
V in Å³/cell: 296
E_form (uncorrected) in meV per atom: 938.2
Total moment in μB per cell: 0.00
Energy above the most stable polymorph in this dataset in eV/f.u.: 1.92

```
data_LiRu2I
_cell_length_a 7.6881
_cell_length_b 7.6881
_cell_length_c 5.0032
_cell_angle_alpha 90.00
_cell_angle_beta 90.00
_cell_angle_gamma 90.00
_space_group_name_H-M_alt 'I -4 2 d'
_space_group_IT_number 122
_space_group_name_Hall 'I -4 2bw'
loop_
_atom_site_label
_atom_site_type_symbol
_atom_site_fract_x
_atom_site_fract_y
_atom_site_fract_z
Li1 Li 0.0000 0.0000 0.0000
Ru1 Ru 0.2303 0.2500 0.6250
I1 I 0.0000 0.0000 0.5000
```

---

[4]
The following is a PBE calculation of a relaxed structure of MnGeSN2, from Alexandria.

## Properties
D(E_F) in states/eV/cell: 3.0
V in Å³/cell: 66
E_form (uncorrected) in meV per atom: 548.2
Total moment in μB per cell: 0.12
Energy above the most stable polymorph in this dataset in eV/f.u.: 0.00

```
data_MnGeSN2
_cell_length_a 3.6383
_cell_length_b 3.6383
_cell_length_c 4.9928
_cell_angle_alpha 90.00
_cell_angle_beta 90.00
_cell_angle_gamma 90.00
_space_group_name_H-M_alt 'P 4/m m m'
_space_group_IT_number 123
_space_group_name_Hall '-P 4 2'
loop_
_atom_site_label
_atom_site_type_symbol
_atom_site_fract_x
_atom_site_fract_y
_atom_site_fract_z
Mn1 Mn 0.0000 0.0000 0.0000
Ge1 Ge 0.5000 0.5000 0.5000
S1 S 0.0000 0.0000 0.5000
N1 N 0.0000 0.5000 0.0000
```

---

[5]
The following is a PBE calculation of a relaxed structure of Pm3Te, from Alexandria.

## Properties
D(E_F) in states/eV/cell: 37.5
V in Å³/cell: 1008
E_form (uncorrected) in meV per atom: -696.2
Total moment in μB per cell: 0.00
Energy above the most stable polymorph in this dataset in eV/f.u.: 0.00

```
data_Pm3Te
_cell_length_a 12.7331
_cell_length_b 12.7331
_cell_length_c 6.2154
_cell_angle_alpha 90.00
_cell_angle_beta 90.00
_cell_angle_gamma 90.00
_space_group_name_H-M_alt 'P 42/n'
_space_group_IT_number 86
loop_
_space_group_symop_operation_xyz
'x,y,z'
'-x,-y,-z'
'-y,x+1/2,z+1/2'
'y,-x+1/2,-z+1/2'
'-x+1/2,-y+1/2,z'
'x+1/2,y+1/2,-z'
'y+1/2,-x,z+1/2'
'-y+1/2,x,-z+1/2'
loop_
_atom_site_label
_atom_site_type_symbol
_atom_site_fract_x
_atom_site_fract_y
_atom_site_fract_z
Pm1 Pm 0.0348 0.5735 0.2416
Pm2 Pm 0.1101 0.2228 0.0348
Pm3 Pm 0.1413 0.6672 0.7149
Te1 Te 0.0473 0.2077 0.5387
```

---

[6]
The following is a PBE calculation of a relaxed structure of Tb2TmTh, from Alexandria.

## Properties
D(E_F) in states/eV/cell: 26.0
V in Å³/cell: 581
Total moment in μB per cell: 0.00
Energy above the most stable polymorph in this dataset in eV/f.u.: 1.96
Formation energy in meV per atom: 519

```
data_Tb2TmTh
_cell_length_a 5.9193
_cell_length_b 27.9985
_cell_length_c 3.5173
_cell_angle_alpha 90.00
_cell_angle_beta 95.12
_cell_angle_gamma 90.00
_space_group_name_H-M_alt 'C 1 2/c 1'
_space_group_IT_number 15
_space_group_name_Hall '-C 2yc'
loop_
_atom_site_label
_atom_site_type_symbol
_atom_site_fract_x
_atom_site_fract_y
_atom_site_fract_z
Tb1 Tb 0.2484 0.0518 0.4591
Tm1 Tm 0.0000 0.1505 0.7500
Th1 Th 0.2500 0.2500 0.5000
```

---

Question: What is the formula in the third record?
Answer: LiRu2I

---

Question: Which of these has the highest V?
Answer: Pm3Te